Density functional theory data (PBE-GGA) for NdPaOs2 after structural relaxation. Values from VASP.

Structure (Quantum ESPRESSO input):
```
&SYSTEM
  ibrav = 0, nat = 4, ntyp = 3
/
ATOMIC_SPECIES
Nd 144.24 Nd.upf
Pa 231.04 Pa.upf
Os 190.23 Os.upf
CELL_PARAMETERS angstrom
3.495 0.000 0.000
0.000 3.495 0.000
0.000 0.000 7.048
ATOMIC_POSITIONS angstrom
Nd 0.000 0.000 0.000
Pa 0.000 0.000 3.524
Os 1.748 1.748 2.027
Os 1.748 1.748 5.020
```

Computed properties:
- energy (eV/atom) = -9.331
- space-group type = P4/mmm (123)
- magnetic moment (μB/atom) = 0.00
- ρ (g/cm³) = 14.6
- E_form (eV per atom) = -0.1504

Density functional theory data (PBE-GGA) for NdPa3Os2 after structural relaxation. Values from VASP.

Structure (Quantum ESPRESSO input):
```
&SYSTEM
  ibrav = 0, nat = 12, ntyp = 3
/
ATOMIC_SPECIES
Nd 144.24 Nd.upf
Pa 231.04 Pa.upf
Os 190.23 Os.upf
CELL_PARAMETERS angstrom
8.693 -2.462 0.000
8.693 2.462 0.000
-3.497 0.000 7.048
ATOMIC_POSITIONS angstrom
Nd 2.700 0.000 0.430
Nd 11.190 0.000 6.618
Pa -0.524 0.000 2.257
Pa 3.281 0.000 3.906
Pa 5.839 0.000 2.390
Pa 8.051 0.000 4.658
Pa 10.609 0.000 3.142
Pa 14.414 0.000 4.791
Os 0.658 0.000 4.785
Os 5.442 0.000 5.701
Os 8.448 0.000 1.347
Os 13.232 0.000 2.263
```

Computed properties:
- energy (eV/atom) = -9.383
- space-group type = C2/m (12)
- magnetic moment (μB/atom) = 0.00
- ρ (g/cm³) = 13.4
- E_form (eV per atom) = -0.0969

Density functional theory data (PBE-GGA) for NdPaOs2 after structural relaxation. Values from VASP.

Structure (Quantum ESPRESSO input):
```
&SYSTEM
  ibrav = 0, nat = 16, ntyp = 3
/
ATOMIC_SPECIES
Nd 144.24 Nd.upf
Pa 231.04 Pa.upf
Os 190.23 Os.upf
CELL_PARAMETERS angstrom
5.937 0.000 0.000
0.000 5.806 0.000
-2.147 0.000 10.631
ATOMIC_POSITIONS angstrom
Nd 0.791 1.008 1.604
Nd -0.283 4.798 6.920
Nd 4.073 1.008 3.712
Nd 2.999 4.798 9.028
Pa 0.232 1.969 9.278
Pa 1.305 3.837 3.962
Pa 2.485 1.969 6.669
Pa 3.558 3.837 1.354
Os -0.630 1.899 6.857
Os 0.444 3.907 1.542
Os 1.101 1.058 4.839
Os 0.027 4.747 10.154
Os 3.763 1.058 0.477
Os 2.690 4.747 5.793
Os 3.347 1.899 9.090
Os 4.420 3.907 3.774
```

Computed properties:
- energy (eV/atom) = -9.270
- space-group type = P2/c (13)
- magnetic moment (μB/atom) = 0.00
- ρ (g/cm³) = 13.7
- E_form (eV per atom) = -0.0891